# 1
A relaxed structure of SmHf2Ni9, computed with PBE-GGA.

Cell and atoms, written as CIF:
```
data_SmHf2Ni9
_chemical_formula_sum 'Sm3 Hf6 Ni27'
_cell_length_a 4.8998
_cell_length_b 4.8998
_cell_length_c 23.7851
_cell_angle_alpha 90.00
_cell_angle_beta 90.00
_cell_angle_gamma 120.00
_symmetry_space_group_name_H-M 'R -3 m'
_symmetry_Int_Tables_number 166
_symmetry_space_group_name_Hall '-R 3 2"'
loop_
_atom_site_label
_atom_site_fract_x
_atom_site_fract_y
_atom_site_fract_z
_atom_site_occupancy
Sm1 0.0000 0.0000 0.0000 1
Hf1 0.0000 0.0000 0.1406 1
Ni1 0.0000 0.0000 0.3337 1
Ni2 0.0000 0.0000 0.5000 1
Ni3 0.0053 0.5026 0.9136 1
```

Properties
The value obtained for the energy relative to the elements is -0.44 eV/atom. The total energy is -245.69 eV for the cell shown.


# 2
A relaxed structure of SmHfTcNi, computed with PBE-GGA.

Cell and atoms, written as CIF:
```
data_SmHfTcNi
_chemical_formula_sum 'Sm4 Hf4 Tc4 Ni4'
_cell_length_a 6.680
_cell_length_b 6.680
_cell_length_c 6.680
_cell_angle_alpha 90.00
_cell_angle_beta 90.00
_cell_angle_gamma 90.00
_symmetry_space_group_name_H-M 'F -4 3 m'
_symmetry_Int_Tables_number 216
_symmetry_space_group_name_Hall 'F -4 2 3'
loop_
_atom_site_label
_atom_site_fract_x
_atom_site_fract_y
_atom_site_fract_z
_atom_site_occupancy
Sm1 0.000 0.000 0.000 1
Hf1 0.000 0.000 0.500 1
Tc1 0.250 0.250 0.250 1
Ni1 0.250 0.250 0.750 1
```

Properties
The value obtained for the energy relative to the elements is -0.18 eV/atom. The total energy is -126.15 eV for the cell shown.


# 3
A relaxed structure of HfNi2Sn2, computed with PBE-GGA.

Cell and atoms, written as CIF:
```
data_HfNi2Sn2
_chemical_formula_sum 'Hf2 Ni4 Sn4'
_cell_length_a 7.670
_cell_length_b 7.670
_cell_length_c 2.983
_cell_angle_alpha 90.00
_cell_angle_beta 90.00
_cell_angle_gamma 90.00
_symmetry_space_group_name_H-M 'P 4/m b m'
_symmetry_Int_Tables_number 127
_symmetry_space_group_name_Hall '-P 4 2ab'
loop_
_atom_site_label
_atom_site_fract_x
_atom_site_fract_y
_atom_site_fract_z
_atom_site_occupancy
Hf1 0.000 0.000 0.000 1
Ni1 0.152 0.348 0.500 1
Sn1 0.145 0.645 0.000 1
```

Properties
The value obtained for the energy relative to the elements is -0.07 eV/atom. The total energy is -59.74 eV for the cell shown. Its energy above the most stable polymorph in this dataset is 277 meV per atom.


# 4
A relaxed structure of HfNi3Sn, computed with PBE-GGA.

Cell and atoms, written as CIF:
```
data_HfNi3Sn
_chemical_formula_sum 'Hf1 Ni3 Sn1'
_cell_length_a 4.546
_cell_length_b 4.546
_cell_length_c 4.546
_cell_angle_alpha 90.00
_cell_angle_beta 90.00
_cell_angle_gamma 90.00
_symmetry_space_group_name_H-M 'P m -3 m'
_symmetry_Int_Tables_number 221
_symmetry_space_group_name_Hall '-P 4 2 3'
loop_
_atom_site_label
_atom_site_fract_x
_atom_site_fract_y
_atom_site_fract_z
_atom_site_occupancy
Hf1 0.000 0.000 0.000 1
Ni1 0.000 0.500 0.500 1
Sn1 0.500 0.500 0.500 1
```

Properties
The value obtained for the energy relative to the elements is 0.73 eV/atom. The total energy is -27.64 eV for the cell shown. Its energy above the most stable polymorph in this dataset is 662 meV per atom.


# 5
A relaxed structure of HfNi3Sn, computed with PBE-GGA.

Cell and atoms, written as CIF:
```
data_HfNi3Sn
_chemical_formula_sum 'Hf1 Ni3 Sn1'
_cell_length_a 4.635
_cell_length_b 4.635
_cell_length_c 4.635
_cell_angle_alpha 90.00
_cell_angle_beta 90.00
_cell_angle_gamma 90.00
_symmetry_space_group_name_H-M 'P m -3 m'
_symmetry_Int_Tables_number 221
_symmetry_space_group_name_Hall '-P 4 2 3'
loop_
_atom_site_label
_atom_site_fract_x
_atom_site_fract_y
_atom_site_fract_z
_atom_site_occupancy
Hf1 0.000 0.000 0.000 1
Ni1 0.000 0.000 0.500 1
Sn1 0.500 0.500 0.500 1
```

Properties
The value obtained for the energy relative to the elements is 0.89 eV/atom. The total energy is -26.85 eV for the cell shown. Its energy above the most stable polymorph in this dataset is 820 meV per atom.


# 6
A relaxed structure of Hf12Ni6Sn, computed with PBE-GGA.

Cell and atoms, written as CIF:
```
data_Hf12Ni6Sn
_chemical_formula_sum 'Hf24 Ni12 Sn2'
_cell_length_a 8.944
_cell_length_b 8.944
_cell_length_c 8.944
_cell_angle_alpha 90.00
_cell_angle_beta 90.00
_cell_angle_gamma 90.00
_symmetry_space_group_name_H-M 'I m -3'
_symmetry_Int_Tables_number 204
_symmetry_space_group_name_Hall '-I 2 2 3'
loop_
_atom_site_label
_atom_site_fract_x
_atom_site_fract_y
_atom_site_fract_z
_atom_site_occupancy
Hf1 0.000 0.187 0.294 1
Ni1 0.000 0.366 0.500 1
Sn1 0.000 0.000 0.000 1
```

Properties
The value obtained for the energy relative to the elements is -0.28 eV/atom. The total energy is -326.78 eV for the cell shown.


# 7
A relaxed structure of HfNi9Sn2, computed with PBE-GGA.

Cell and atoms, written as CIF:
```
data_HfNi9Sn2
_chemical_formula_sum 'Hf1 Ni9 Sn2'
_cell_length_a 3.737
_cell_length_b 3.737
_cell_length_c 11.144
_cell_angle_alpha 90.00
_cell_angle_beta 90.00
_cell_angle_gamma 90.00
_symmetry_space_group_name_H-M 'P 4/m m m'
_symmetry_Int_Tables_number 123
_symmetry_space_group_name_Hall '-P 4 2'
loop_
_atom_site_label
_atom_site_fract_x
_atom_site_fract_y
_atom_site_fract_z
_atom_site_occupancy
Hf1 0.000 0.000 0.000 1
Ni1 0.000 0.500 0.166 1
Ni2 0.000 0.500 0.500 1
Ni3 0.500 0.500 0.000 1
Ni4 0.500 0.500 0.334 1
Sn1 0.000 0.000 0.333 1
```

Properties
The value obtained for the energy relative to the elements is -0.30 eV/atom. The total energy is -73.63 eV for the cell shown. Its energy above the most stable polymorph in this dataset is 0 meV per atom.


# 8
A relaxed structure of Hf2Ni9Sn, computed with PBE-GGA.

Cell and atoms, written as CIF:
```
data_Hf2Ni9Sn
_chemical_formula_sum 'Hf2 Ni9 Sn1'
_cell_length_a 3.731
_cell_length_b 3.731
_cell_length_c 11.170
_cell_angle_alpha 90.00
_cell_angle_beta 90.00
_cell_angle_gamma 90.00
_symmetry_space_group_name_H-M 'P 4/m m m'
_symmetry_Int_Tables_number 123
_symmetry_space_group_name_Hall '-P 4 2'
loop_
_atom_site_label
_atom_site_fract_x
_atom_site_fract_y
_atom_site_fract_z
_atom_site_occupancy
Hf1 0.000 0.000 0.167 1
Ni1 0.000 0.500 0.000 1
Ni2 0.000 0.500 0.332 1
Ni3 0.500 0.500 0.167 1
Ni4 0.500 0.500 0.500 1
Sn1 0.000 0.000 0.500 1
```

Properties
The value obtained for the energy relative to the elements is -0.41 eV/atom. The total energy is -80.91 eV for the cell shown.


# 9
A relaxed structure of HfNi2Sn2, computed with PBE-GGA.

Cell and atoms, written as CIF:
```
data_HfNi2Sn2
_chemical_formula_sum 'Hf2 Ni4 Sn4'
_cell_length_a 4.343
_cell_length_b 4.455
_cell_length_c 9.491
_cell_angle_alpha 90.00
_cell_angle_beta 90.00
_cell_angle_gamma 90.00
_symmetry_space_group_name_H-M 'P m m n'
_symmetry_Int_Tables_number 59
loop_
_symmetry_equiv_pos_as_xyz
'x,y,z'
'-x,-y,-z'
'-x+1/2,-y+1/2,z'
'x+1/2,y+1/2,-z'
'x+1/2,-y,-z'
'-x+1/2,y,z'
'-x,y+1/2,-z'
'x,-y+1/2,z'
loop_
_atom_site_label
_atom_site_fract_x
_atom_site_fract_y
_atom_site_fract_z
_atom_site_occupancy
Hf1 0.250 0.250 0.168 1
Ni1 0.250 0.750 0.332 1
Ni2 0.250 0.750 0.985 1
Sn1 0.250 0.250 0.489 1
Sn2 0.250 0.250 0.830 1
```

Properties
The value obtained for the energy relative to the elements is -0.35 eV/atom. The total energy is -62.52 eV for the cell shown. Its energy above the most stable polymorph in this dataset is 0 meV per atom.


# 10
A relaxed structure of Hf12NiSn6, computed with PBE-GGA.

Cell and atoms, written as CIF:
```
data_Hf12NiSn6
_chemical_formula_sum 'Hf36 Ni3 Sn18'
_cell_length_a 12.1079
_cell_length_b 12.1079
_cell_length_c 10.8458
_cell_angle_alpha 90.00
_cell_angle_beta 90.00
_cell_angle_gamma 120.00
_symmetry_space_group_name_H-M 'R -3'
_symmetry_Int_Tables_number 148
_symmetry_space_group_name_Hall '-R 3'
loop_
_atom_site_label
_atom_site_fract_x
_atom_site_fract_y
_atom_site_fract_z
_atom_site_occupancy
Hf1 0.0232 0.1629 0.3784 1
Hf2 0.0725 0.1889 0.8708 1
Ni1 0.0000 0.0000 0.0000 1
Sn1 0.0357 0.2963 0.6319 1
```

Properties
The value obtained for the energy relative to the elements is 0.05 eV/atom. The total energy is -444.90 eV for the cell shown.